A | A relaxed structure of ThSc4Tl. Source: Alexandria via LeMat-Bulk, functional PBE.

M_tot ... 0.0 Bohr magnetons per cell

Cell lengths 4.8901, 4.8901, 9.0268 Å; angles 105.65, 105.65, 60.24 degrees
Positions (direct):
Th (0.0000, 0.0000, 0.0000)
Sc (0.1238, 0.1238, 0.3722)
Sc (0.3847, 0.3847, 0.1512)
Sc (0.6153, 0.6153, 0.8488)
Sc (0.8762, 0.8762, 0.6278)
Tl (0.5000, 0.5000, 0.5000)



B | A relaxed structure of ThSc4Tl. Source: Alexandria via LeMat-Bulk, functional PBE.

M_tot ... 0.9 Bohr magnetons per cell

Cell lengths 3.5195, 3.5195, 12.3482 Å; angles 90.00, 90.00, 90.00 degrees
Positions (direct):
Th (0.0000, 0.0000, 0.0000)
Sc (0.0000, 0.0000, 0.3469)
Sc (0.0000, 0.0000, 0.6531)
Sc (0.5000, 0.5000, 0.1784)
Sc (0.5000, 0.5000, 0.8216)
Tl (0.5000, 0.5000, 0.5000)



Most favorable structure: B. The second most favorable one is 0.547 eV/atom above it.



A | A relaxed structure of Tm6Th2Sc. Source: Alexandria via LeMat-Bulk, functional PBE.

M_tot ... 0.0 Bohr magnetons per cell

Cell lengths 9.8711, 9.8711, 5.9298 Å; angles 96.56, 96.56, 70.72 degrees
Positions (direct):
Tm (0.0771, 0.8129, 0.9821)
Tm (0.1592, 0.4189, 0.1230)
Tm (0.1871, 0.9229, 0.5179)
Tm (0.2687, 0.5197, 0.6741)
Tm (0.4189, 0.1592, 0.6230)
Tm (0.4803, 0.7313, 0.8259)
Tm (0.5197, 0.2687, 0.1741)
Tm (0.5811, 0.8408, 0.3770)
Tm (0.7313, 0.4803, 0.3259)
Tm (0.8129, 0.0771, 0.4821)
Tm (0.8408, 0.5811, 0.8770)
Tm (0.9229, 0.1871, 0.0179)
Th (0.0546, 0.2956, 0.5630)
Th (0.2956, 0.0546, 0.0630)
Th (0.7044, 0.9454, 0.9370)
Th (0.9454, 0.7044, 0.4370)
Sc (0.3852, 0.6148, 0.2500)
Sc (0.6148, 0.3852, 0.7500)



B | A relaxed structure of Tm6Th2Sc. Source: Alexandria via LeMat-Bulk, functional PBE.

M_tot ... 0.0 Bohr magnetons per cell

Cell lengths 6.0285, 6.0285, 10.4293 Å; angles 106.47, 106.47, 48.66 degrees
Positions (direct):
Tm (0.1640, 0.1640, 0.0547)
Tm (0.1649, 0.1649, 0.7198)
Tm (0.1664, 0.1664, 0.3898)
Tm (0.8336, 0.8336, 0.6102)
Tm (0.8351, 0.8351, 0.2802)
Tm (0.8360, 0.8360, 0.9453)
Th (0.4994, 0.4994, 0.8306)
Th (0.5006, 0.5006, 0.1694)
Sc (0.5000, 0.5000, 0.5000)



Most favorable structure: B. The second most favorable one is 0.081 eV/atom above it.



A | A relaxed structure of Tm3ThSc4. Source: Alexandria via LeMat-Bulk, functional PBE.

M_tot ... 0.0 Bohr magnetons per cell

Cell lengths 10.8297, 6.8778, 5.9454 Å; angles 90.00, 90.00, 90.00 degrees
Positions (direct):
Tm (0.0000, 0.1305, 0.0000)
Tm (0.2488, 0.1317, 0.3466)
Tm (0.2512, 0.8683, 0.8466)
Tm (0.5000, 0.8695, 0.5000)
Tm (0.7488, 0.8683, 0.8466)
Tm (0.7512, 0.1317, 0.3466)
Th (0.0000, 0.8638, 0.5040)
Th (0.5000, 0.1362, 0.0040)
Sc (0.0000, 0.3823, 0.5080)
Sc (0.0000, 0.6189, 0.0136)
Sc (0.2486, 0.3805, 0.8438)
Sc (0.2514, 0.6195, 0.3438)
Sc (0.5000, 0.3811, 0.5136)
Sc (0.5000, 0.6177, 0.0080)
Sc (0.7486, 0.6195, 0.3438)
Sc (0.7514, 0.3805, 0.8438)



B | A relaxed structure of Tm3ThSc4. Source: Alexandria via LeMat-Bulk, functional PBE.

M_tot ... 0.0 Bohr magnetons per cell

Cell lengths 3.7711, 5.4091, 10.7638 Å; angles 90.00, 90.00, 90.00 degrees
Positions (direct):
Tm (0.0000, 0.0000, 0.0000)
Tm (0.0000, 0.5000, 0.2464)
Tm (0.0000, 0.5000, 0.7536)
Th (0.0000, 0.0000, 0.5000)
Sc (0.5000, 0.0000, 0.2497)
Sc (0.5000, 0.0000, 0.7503)
Sc (0.5000, 0.5000, 0.0000)
Sc (0.5000, 0.5000, 0.5000)



Most favorable structure: A. The second most favorable one is 0.045 eV/atom above it.



A | A relaxed structure of Tm3Th3Sc5. Source: Alexandria via LeMat-Bulk, functional PBE.

M_tot ... 0.0 Bohr magnetons per cell

Cell lengths 10.7261, 10.7261, 3.2954 Å; angles 90.00, 90.00, 120.00 degrees
Positions (direct):
Tm (0.0000, 0.5979, 0.0000)
Tm (0.4021, 0.4021, 0.0000)
Tm (0.5979, 0.0000, 0.0000)
Th (0.0000, 0.3339, 0.5000)
Th (0.3339, 0.0000, 0.5000)
Th (0.6661, 0.6661, 0.5000)
Sc (0.0000, 0.8450, 0.5000)
Sc (0.1550, 0.1550, 0.5000)
Sc (0.3333, 0.6667, 0.5000)
Sc (0.6667, 0.3333, 0.5000)
Sc (0.8450, 0.0000, 0.5000)



B | A relaxed structure of Tm3Th3Sc5. Source: Alexandria via LeMat-Bulk, functional PBE.

M_tot ... 0.0 Bohr magnetons per cell

Cell lengths 5.9033, 7.5834, 7.6633 Å; angles 107.61, 104.86, 97.02 degrees
Positions (direct):
Tm (0.0000, 0.0000, 0.0000)
Tm (0.1882, 0.6302, 0.7209)
Tm (0.4574, 0.0926, 0.8095)
Th (0.5509, 0.9026, 0.1808)
Th (0.6375, 0.7157, 0.5362)
Th (0.9131, 0.1863, 0.6324)
Sc (0.0942, 0.8164, 0.3599)
Sc (0.2726, 0.4550, 0.0934)
Sc (0.3678, 0.2662, 0.4464)
Sc (0.7313, 0.5420, 0.9124)
Sc (0.8182, 0.3616, 0.2685)



Most favorable structure: B. The second most favorable one is 0.353 eV/atom above it.



A | A relaxed structure of Tm7Th2Sc2. Source: Alexandria via LeMat-Bulk, functional PBE.

M_tot ... 0.0 Bohr magnetons per cell

Cell lengths 7.4337, 7.4337, 8.2722 Å; angles 110.43, 110.43, 53.30 degrees
Positions (direct):
Tm (0.0000, 0.0000, 0.0000)
Tm (0.0516, 0.5529, 0.7190)
Tm (0.4190, 0.4190, 0.1183)
Tm (0.4471, 0.9484, 0.2810)
Tm (0.5529, 0.0516, 0.7190)
Tm (0.5810, 0.5810, 0.8817)
Tm (0.9484, 0.4471, 0.2810)
Th (0.2452, 0.7548, 0.5000)
Th (0.7548, 0.2452, 0.5000)
Sc (0.1664, 0.1664, 0.8790)
Sc (0.8336, 0.8336, 0.1210)



B | A relaxed structure of Tm7Th2Sc2. Source: Alexandria via LeMat-Bulk, functional PBE.

M_tot ... 0.0 Bohr magnetons per cell

Cell lengths 6.1409, 6.1409, 9.6414 Å; angles 91.20, 91.20, 113.87 degrees
Positions (direct):
Tm (0.0000, 0.0000, 0.0000)
Tm (0.1641, 0.5776, 0.1487)
Tm (0.2987, 0.2987, 0.7116)
Tm (0.4224, 0.8359, 0.8513)
Tm (0.5776, 0.1641, 0.1487)
Tm (0.7013, 0.7013, 0.2884)
Tm (0.8359, 0.4224, 0.8513)
Th (0.1906, 0.1906, 0.3723)
Th (0.8094, 0.8094, 0.6277)
Sc (0.2708, 0.7292, 0.5000)
Sc (0.7292, 0.2708, 0.5000)



Most favorable structure: B. The second most favorable one is 0.166 eV/atom above it.



A | A relaxed structure of TmTh3Sc6. Source: Alexandria via LeMat-Bulk, functional PBE.

M_tot ... 0.0 Bohr magnetons per cell

Cell lengths 5.9881, 6.4230, 7.9909 Å; angles 76.19, 68.27, 89.87 degrees
Positions (direct):
Tm (0.0000, 0.0000, 0.0000)
Th (0.3932, 0.7938, 0.2071)
Th (0.4200, 0.6905, 0.7931)
Th (0.8239, 0.5005, 0.9880)
Sc (0.0205, 0.9046, 0.5958)
Sc (0.1978, 0.3878, 0.5892)
Sc (0.2243, 0.2971, 0.2025)
Sc (0.5957, 0.1892, 0.7921)
Sc (0.6285, 0.1013, 0.4028)
Sc (0.8012, 0.5882, 0.4004)



B | A relaxed structure of TmTh3Sc6. Source: Alexandria via LeMat-Bulk, functional PBE.

M_tot ... 0.0 Bohr magnetons per cell

Cell lengths 9.7691, 9.7691, 6.0110 Å; angles 90.00, 90.00, 104.65 degrees
Positions (direct):
Tm (0.2019, 0.7981, 0.5000)
Tm (0.7981, 0.2019, 0.0000)
Th (0.1190, 0.2742, 0.7095)
Th (0.2742, 0.1190, 0.2095)
Th (0.4036, 0.5964, 0.6896)
Th (0.5964, 0.4036, 0.1896)
Th (0.7258, 0.8810, 0.7095)
Th (0.8810, 0.7258, 0.2095)
Sc (0.0205, 0.5459, 0.8138)
Sc (0.0547, 0.9453, 0.8409)
Sc (0.2454, 0.7546, 0.0348)
Sc (0.2763, 0.4571, 0.1918)
Sc (0.4541, 0.9795, 0.8138)
Sc (0.4571, 0.2763, 0.6918)
Sc (0.5429, 0.7237, 0.1918)
Sc (0.5459, 0.0205, 0.3138)
Sc (0.7237, 0.5429, 0.6918)
Sc (0.7546, 0.2454, 0.5348)
Sc (0.9453, 0.0547, 0.3409)
Sc (0.9795, 0.4541, 0.3138)



Most favorable structure: A. The second most favorable one is 0.176 eV/atom above it.



A | A relaxed structure of TmTh2Sc8. Source: Alexandria via LeMat-Bulk, functional PBE.

M_tot ... 0.0 Bohr magnetons per cell

Cell lengths 5.7386, 7.4680, 7.5480 Å; angles 107.20, 105.53, 98.01 degrees
Positions (direct):
Tm (0.0000, 0.0000, 0.0000)
Th (0.0935, 0.8125, 0.3636)
Th (0.9065, 0.1875, 0.6364)
Sc (0.1835, 0.6373, 0.7268)
Sc (0.2710, 0.4577, 0.0886)
Sc (0.3568, 0.2771, 0.4564)
Sc (0.4470, 0.0924, 0.8155)
Sc (0.5530, 0.9076, 0.1845)
Sc (0.6432, 0.7229, 0.5436)
Sc (0.7290, 0.5423, 0.9114)
Sc (0.8165, 0.3627, 0.2732)



B | A relaxed structure of TmTh2Sc8. Source: Alexandria via LeMat-Bulk, functional PBE.

M_tot ... 0.0 Bohr magnetons per cell

Cell lengths 9.5696, 9.5696, 5.1705 Å; angles 92.62, 92.62, 40.01 degrees
Positions (direct):
Tm (0.0000, 0.0000, 0.0000)
Th (0.2816, 0.2816, 0.7441)
Th (0.7184, 0.7184, 0.2559)
Sc (0.1416, 0.6056, 0.2734)
Sc (0.1776, 0.1776, 0.2290)
Sc (0.3944, 0.8584, 0.7266)
Sc (0.4543, 0.4543, 0.7659)
Sc (0.5457, 0.5457, 0.2341)
Sc (0.6056, 0.1416, 0.2734)
Sc (0.8224, 0.8224, 0.7710)
Sc (0.8584, 0.3944, 0.7266)



Most favorable structure: A. The second most favorable one is 0.149 eV/atom above it.



A | A relaxed structure of TmThSc3. Source: Alexandria via LeMat-Bulk, functional PBE.

M_tot ... 0.0 Bohr magnetons per cell

Cell lengths 8.6170, 8.6170, 10.6560 Å; angles 107.03, 107.03, 21.65 degrees
Positions (direct):
Tm (0.1012, 0.1012, 0.0538)
Tm (0.8988, 0.8988, 0.9462)
Th (0.3955, 0.3955, 0.4514)
Th (0.6045, 0.6045, 0.5486)
Sc (0.0073, 0.0073, 0.7350)
Sc (0.1984, 0.1984, 0.3661)
Sc (0.3040, 0.3040, 0.1327)
Sc (0.6960, 0.6960, 0.8673)
Sc (0.8016, 0.8016, 0.6339)
Sc (0.9927, 0.9927, 0.2650)



B | A relaxed structure of TmThSc3. Source: Alexandria via LeMat-Bulk, functional PBE.

M_tot ... 0.0 Bohr magnetons per cell

Cell lengths 5.9387, 5.3898, 8.9981 Å; angles 90.00, 108.71, 90.00 degrees
Positions (direct):
Tm (0.0350, 0.2500, 0.3954)
Tm (0.9650, 0.7500, 0.6046)
Th (0.4311, 0.2500, 0.1969)
Th (0.5689, 0.7500, 0.8031)
Sc (0.1593, 0.7500, 0.0057)
Sc (0.2331, 0.2500, 0.8016)
Sc (0.3745, 0.7500, 0.4019)
Sc (0.6255, 0.2500, 0.5981)
Sc (0.7669, 0.7500, 0.1984)
Sc (0.8407, 0.2500, 0.9943)



Most favorable structure: B. The second most favorable one is 0.183 eV/atom above it.



A | A relaxed structure of Tm2Th2Sc7. Source: Alexandria via LeMat-Bulk, functional PBE.

M_tot ... 0.0 Bohr magnetons per cell

Cell lengths 7.5229, 7.5229, 5.8135 Å; angles 106.32, 106.32, 90.94 degrees
Positions (direct):
Tm (0.2059, 0.7941, 0.0000)
Tm (0.7941, 0.2059, 0.0000)
Th (0.3989, 0.3989, 0.6805)
Th (0.6011, 0.6011, 0.3195)
Sc (0.0000, 0.0000, 0.5000)
Sc (0.0674, 0.5898, 0.3290)
Sc (0.2422, 0.2422, 0.0721)
Sc (0.4102, 0.9326, 0.6710)
Sc (0.5898, 0.0674, 0.3290)
Sc (0.7578, 0.7578, 0.9279)
Sc (0.9326, 0.4102, 0.6710)



B | A relaxed structure of Tm2Th2Sc7. Source: Alexandria via LeMat-Bulk, functional PBE.

M_tot ... 0.0 Bohr magnetons per cell

Cell lengths 9.8415, 9.8415, 3.4457 Å; angles 100.04, 100.04, 67.28 degrees
Positions (direct):
Tm (0.1885, 0.1885, 0.1887)
Tm (0.8115, 0.8115, 0.8113)
Th (0.2628, 0.7372, 0.0000)
Th (0.7372, 0.2628, 0.0000)
Sc (0.0000, 0.0000, 0.5000)
Sc (0.0934, 0.5643, 0.3288)
Sc (0.3797, 0.3797, 0.8792)
Sc (0.4357, 0.9066, 0.6712)
Sc (0.5643, 0.0934, 0.3288)
Sc (0.6203, 0.6203, 0.1208)
Sc (0.9066, 0.4357, 0.6712)



Most favorable structure: B. The second most favorable one is 0.020 eV/atom above it.



A | A relaxed structure of TmThSc. Source: Alexandria via LeMat-Bulk, functional PBE.

M_tot ... 0.0 Bohr magnetons per cell

Cell lengths 5.5042, 5.5042, 6.6599 Å; angles 90.00, 90.00, 120.00 degrees
Positions (direct):
Tm (0.3333, 0.6667, 0.0000)
Tm (0.6667, 0.3333, 0.0000)
Th (0.3333, 0.6667, 0.5000)
Th (0.6667, 0.3333, 0.5000)
Sc (0.0000, 0.0000, 0.2551)
Sc (0.0000, 0.0000, 0.7449)



B | A relaxed structure of TmThSc. Source: Alexandria via LeMat-Bulk, functional PBE.

M_tot ... 0.0 Bohr magnetons per cell

Cell lengths 7.5681, 7.5681, 7.5681 Å; angles 153.32, 153.32, 38.10 degrees
Positions (direct):
Tm (0.0000, 0.0000, 0.0000)
Th (0.3298, 0.3298, 0.0000)
Sc (0.6703, 0.6703, 0.0000)



C | A relaxed structure of TmThSc. Source: Alexandria via LeMat-Bulk, functional PBE.

M_tot ... 0.0 Bohr magnetons per cell

Cell lengths 15.7079, 15.7079, 15.7079 Å; angles 167.48, 167.48, 17.74 degrees
Positions (direct):
Tm (0.2077, 0.2077, 0.0000)
Tm (0.7923, 0.7923, 0.0000)
Th (0.3733, 0.3733, 0.0000)
Th (0.6267, 0.6267, 0.0000)
Sc (0.0526, 0.0526, 0.0000)
Sc (0.9474, 0.9474, 0.0000)



Most favorable structure: B. The second most favorable one is 0.061 eV/atom above it.